# MgH4Ir3

Crystalline MgH4Ir3 at its relaxed geometry (GGA-PBE, the Alexandria database).

The structure in POSCAR format:
```
MgH4Ir3
1.0
-5.803 3.196 0.317
-0.528 -2.358 1.470
2.417 2.919 2.843
Mg H Ir
1 4 3
Direct
0.728 0.009 0.382
0.959 0.552 0.236
0.018 0.291 0.662
0.114 0.966 0.922
0.754 0.773 0.890
0.504 0.584 0.758
0.144 0.794 0.542
0.360 0.217 0.170
```

## Properties
Space-group type   P1 (1)
VASP energy   -41.89 eV/cell


# TaAg2Sb

Crystalline TaAg2Sb at its relaxed geometry (GGA-PBE, the Alexandria database).

The structure in POSCAR format:
```
TaAg2Sb
1.0
-1.043 -1.120 -2.547
-0.747 -2.508 1.408
-8.254 3.494 1.845
Sb Ag Ta
1 2 1
Direct
0.500 0.500 0.250
0.000 0.000 0.979
0.000 0.000 0.521
0.500 0.500 0.750
```

## Properties
Space-group type   P4/mmm (123)
Raw formation energy   314 meV/atom


# Y3ThPt2

Crystalline Y3ThPt2 at its relaxed geometry (GGA-PBE, the Alexandria database).

The structure in POSCAR format:
```
Y3ThPt2
1.0
4.820 0.000 0.000
0.000 7.146 0.000
0.000 0.000 9.036
Y Th Pt
6 2 4
Direct
0.000 0.490 0.919
0.000 0.990 0.081
0.500 0.645 0.158
0.500 0.145 0.842
0.000 0.361 0.324
0.000 0.861 0.676
0.500 0.505 0.584
0.500 0.005 0.416
0.500 0.736 0.841
0.500 0.236 0.159
0.000 0.263 0.656
0.000 0.763 0.344
```

## Properties
Space-group type   Pmc2_1 (26)
Formation energy from the elements   -0.882 eV/atom


# CdCo2Se

Crystalline CdCo2Se at its relaxed geometry (GGA-PBE, the Alexandria database).

The structure in POSCAR format:
```
CdCo2Se
1.0
4.485 0.000 0.000
2.242 3.884 0.000
2.242 1.295 3.662
Cd Co Se
1 2 1
Direct
0.500 0.500 0.500
0.000 0.000 0.000
0.750 0.750 0.750
0.250 0.250 0.250
```

## Properties
Space-group type   F-43m (216)
Polymorph energy (0 for the lowest one)   1.67 eV per formula unit
Raw formation energy   562 meV/atom